Entry 1:
{"formula": "W5Se", "functional": "PBE", "state": "optimized geometry", "total_energy_ev_per_atom": -10.444, "dos_ef_per_ev_cell": 3.3, "space_group": "P6/mmm, No. 191", "formation_energy_uncorrected_ev_per_atom": 0.93, "lattice": [[-3.497, 3.485, -1.720], [1.237, -4.136, -2.949], [-3.442, -2.462, 2.009]], "species": ["W", "W", "W", "W", "W", "Se"], "fractional_positions": [[0.333, 0.667, 0.000], [0.667, 0.333, 0.000], [0.500, 0.000, 0.500], [0.000, 0.500, 0.500], [0.500, 0.500, 0.500], [0.000, 0.000, 0.000]]}



Entry 2:
{"formula": "Ca2YAu", "functional": "PBE", "state": "optimized geometry", "total_energy_ev_per_atom": -3.841, "formation_energy_ev_per_atom": -0.41, "dos_ef_per_ev_cell": 3.5, "space_group": "Pm, No. 6", "lattice": [[-3.405, 1.089, -0.894], [-1.195, -3.491, 0.298], [-3.107, -2.053, 9.333]], "species": ["Y", "Ca", "Ca", "Au"], "fractional_positions": [[0.000, 0.431, 0.569], [0.000, 0.064, 0.936], [0.500, 0.235, 0.265], [0.500, 0.770, 0.730]]}



Entry 3:
{"formula": "TcTePtC2", "functional": "PBE", "state": "optimized geometry", "total_energy_ev_per_atom": -4.811, "dos_ef_per_ev_cell": 5.3, "space_group": "P4/mmm, No. 123", "formation_energy_uncorrected_ev_per_atom": 2.79, "lattice": [[-2.242, 1.514, 3.096], [2.313, -3.301, 3.289], [2.922, 2.794, 0.749]], "species": ["C", "C", "Te", "Tc", "Pt"], "fractional_positions": [[0.000, 0.000, 0.500], [0.500, 0.000, 0.000], [0.000, 0.000, 0.000], [0.000, 0.500, 0.000], [0.500, 0.500, 0.500]]}



Entry 4:
{"formula": "ScReRu2", "functional": "PBE", "state": "optimized geometry", "total_energy_ev_per_atom": -9.469, "formation_energy_ev_per_atom": -0.14, "dos_ef_per_ev_cell": 3.0, "space_group": "P4/mmm, No. 123", "lattice": [[-1.811, 1.967, -1.312], [-2.266, -1.917, 0.252], [-1.590, 2.698, 6.243]], "species": ["Re", "Ru", "Ru", "Sc"], "fractional_positions": [[0.500, 0.500, 0.750], [0.000, 0.000, 0.989], [0.000, 0.000, 0.511], [0.500, 0.500, 0.250]]}



Entry 5:
{"formula": "PaW3", "functional": "PBE", "state": "optimized geometry", "total_energy_ev_per_atom": -11.741, "formation_energy_ev_per_atom": 0.35, "dos_ef_per_ev_cell": 4.4, "space_group": "P4/mmm, No. 123", "lattice": [[-0.793, -1.928, -2.515], [3.926, 1.371, -2.290], [2.408, -3.579, 1.984]], "species": ["Pa", "W", "W", "W"], "fractional_positions": [[0.000, 0.500, 0.417], [0.000, 0.000, 0.917], [0.500, 0.000, 0.417], [0.500, 0.500, 0.917]]}



Entry 6:
{"formula": "Al3GaW", "functional": "PBE", "state": "optimized geometry", "total_energy_ev_per_atom": -4.074, "formation_energy_ev_per_atom": 1.37, "dos_ef_per_ev_cell": 6.6, "space_group": "Pm-3m, No. 221", "lattice": [[-1.478, -1.556, -4.069], [-2.534, -3.188, 2.139], [-3.543, 2.929, 0.167]], "species": ["Ga", "W", "Al", "Al", "Al"], "fractional_positions": [[0.000, 0.000, 0.000], [0.500, 0.500, 0.500], [0.000, 0.500, 0.000], [0.000, 0.000, 0.500], [0.500, 0.000, 0.000]]}